Compound: EuErBi2
Source: Alexandria via LeMat-Bulk
Functional: GGA-PBE
Structure: optimized geometry

Computed properties:
Its space group is No. 225. The formation energy comes out at -0.6274 eV/atom. The value obtained for the volume is 30.88 Å³/atom. Its density of states at the Fermi level is 0.777 states/eV per atom. The value obtained for the magnetization is 7.087 μB/cell.

Lattice parameters (Å, degrees): 5.590 5.590 5.590 60.00 60.00 60.00
Fractional coordinates of all 4 atoms:
Eu  0.000  0.000  0.000
Er  0.500  0.500  0.500
Bi  0.250  0.250  0.250
Bi  0.750  0.750  0.750


Compound: MgZn3In
Source: Alexandria via LeMat-Bulk
Functional: GGA-PBE
Structure: optimized geometry

Computed properties:
Its space group is No. 221. The formation energy comes out at 0.5088 eV/atom. The value obtained for the volume is 26.46 Å³/atom. Its density of states at the Fermi level is 0.452 states/eV per atom. The value obtained for the magnetization is 0.000 μB/cell.

Lattice parameters (Å, degrees): 5.096 5.096 5.096 90.00 90.00 90.00
Fractional coordinates of all 5 atoms:
Mg  0.000  0.000  0.000
Zn  0.000  0.000  0.500
Zn  0.000  0.500  0.000
Zn  0.500  0.000  0.000
In  0.500  0.500  0.500


Compound: ReIrPtRh3
Source: Alexandria via LeMat-Bulk
Functional: GGA-PBE
Structure: optimized geometry

Computed properties:
Its space group is No. 63. The formation energy comes out at -0.1058 eV/atom. The value obtained for the volume is 14.58 Å³/atom. Its density of states at the Fermi level is 0.979 states/eV per atom. The value obtained for the magnetization is 0.000 μB/cell.

Lattice parameters (Å, degrees): 6.137 6.137 7.779 90.00 90.00 143.34
Fractional coordinates of all 12 atoms:
Re  0.000  0.000  0.000
Re  0.000  0.000  0.500
Ir  0.499  0.501  0.750
Ir  0.501  0.499  0.250
Pt  0.166  0.834  0.750
Pt  0.834  0.166  0.250
Rh  0.161  0.839  0.250
Rh  0.341  0.659  0.501
Rh  0.341  0.659  0.999
Rh  0.659  0.341  0.001
Rh  0.659  0.341  0.499
Rh  0.839  0.161  0.750


Compound: ZrHg2Cl
Source: Alexandria via LeMat-Bulk
Functional: GGA-PBE
Structure: optimized geometry

Computed properties:
Its space group is No. 10. The value obtained for the volume is 23.97 Å³/atom. The value obtained for the final energy is -2.943 eV/atom. Its density of states at the Fermi level is 0.652 states/eV per atom. The value obtained for the magnetization is 0.000 μB/cell.

Lattice parameters (Å, degrees): 3.296 5.686 5.135 90.00 94.95 90.00
Fractional coordinates of all 4 atoms:
Zr  0.000  0.000  0.000
Hg  0.313  0.500  0.240
Hg  0.687  0.500  0.760
Cl  0.000  0.000  0.500


Compound: SmErTeC
Source: Alexandria via LeMat-Bulk
Functional: GGA-PBE
Structure: optimized geometry

Computed properties:
Its space group is No. 160. The value obtained for the volume is 22.82 Å³/atom. The value obtained for the final energy is -6.220 eV/atom. Its density of states at the Fermi level is 0.203 states/eV per atom. The value obtained for the magnetization is 0.000 μB/cell.

Lattice parameters (Å, degrees): 7.488 7.488 7.488 29.71 29.71 29.71
Fractional coordinates of all 4 atoms:
Sm  0.000  0.000  0.000
Er  0.791  0.791  0.791
Te  0.225  0.225  0.225
C  0.398  0.398  0.398


Compound: TlCr2Re
Source: Alexandria via LeMat-Bulk
Functional: GGA-PBE
Structure: optimized geometry

Computed properties:
Its space group is No. 216. The formation energy comes out at 0.7730 eV/atom. The value obtained for the volume is 16.02 Å³/atom. Its density of states at the Fermi level is 0.869 states/eV per atom. The value obtained for the magnetization is 1.744 μB/cell.

Lattice parameters (Å, degrees): 4.491 4.491 4.491 60.00 60.00 60.00
Fractional coordinates of all 4 atoms:
Tl  0.000  0.000  0.000
Cr  0.250  0.250  0.250
Cr  0.500  0.500  0.500
Re  0.750  0.750  0.750


Compound: Mn2FeRuN
Source: Alexandria via LeMat-Bulk
Functional: GGA-PBE
Structure: optimized geometry

Computed properties:
Its space group is No. 123. The value obtained for the volume is 10.54 Å³/atom. The value obtained for the final energy is -8.849 eV/atom. Its density of states at the Fermi level is 1.710 states/eV per atom. The value obtained for the magnetization is 0.001 μB/cell.

Lattice parameters (Å, degrees): 3.756 3.756 3.734 90.00 90.00 90.00
Fractional coordinates of all 5 atoms:
Mn  0.000  0.500  0.000
Mn  0.500  0.000  0.000
Fe  0.000  0.000  0.500
Ru  0.500  0.500  0.500
N  0.000  0.000  0.000


Compound: Ba2NaHgAu
Source: Alexandria via LeMat-Bulk
Functional: GGA-PBE
Structure: optimized geometry

Computed properties:
Its space group is No. 129. The formation energy comes out at -0.4743 eV/atom. The value obtained for the volume is 38.14 Å³/atom. Its density of states at the Fermi level is 0.692 states/eV per atom. The value obtained for the magnetization is 0.000 μB/cell.

Lattice parameters (Å, degrees): 4.779 4.779 16.699 90.00 90.00 90.00
Fractional coordinates of all 10 atoms:
Ba  0.250  0.250  0.100
Ba  0.250  0.250  0.705
Ba  0.750  0.750  0.295
Ba  0.750  0.750  0.900
Na  0.250  0.750  0.500
Na  0.750  0.250  0.500
Hg  0.250  0.250  0.363
Hg  0.750  0.750  0.637
Au  0.250  0.250  0.901
Au  0.750  0.750  0.099


Compound: MoAsAu2
Source: Alexandria via LeMat-Bulk
Functional: GGA-PBE
Structure: optimized geometry

Computed properties:
Its space group is No. 44. The formation energy comes out at 0.3702 eV/atom. The value obtained for the volume is 18.13 Å³/atom. Its density of states at the Fermi level is 0.777 states/eV per atom. The value obtained for the magnetization is 0.719 μB/cell.

Lattice parameters (Å, degrees): 5.745 5.745 5.745 146.86 135.19 56.85
Fractional coordinates of all 4 atoms:
Mo  0.000  0.000  0.000
As  0.186  0.686  0.500
Au  0.434  0.434  0.000
Au  0.739  0.239  0.500


Compound: Fe6OsRh5
Source: Alexandria via LeMat-Bulk
Functional: GGA-PBE
Structure: optimized geometry

Computed properties:
Its space group is No. 65. The formation energy comes out at 0.0432 eV/atom. The value obtained for the volume is 13.62 Å³/atom. Its density of states at the Fermi level is 1.165 states/eV per atom. The value obtained for the magnetization is 24.941 μB/cell.

Lattice parameters (Å, degrees): 6.745 6.745 6.000 90.00 90.00 143.22
Fractional coordinates of all 12 atoms:
Fe  0.000  0.000  0.247
Fe  0.000  0.000  0.753
Fe  0.334  0.666  0.249
Fe  0.334  0.666  0.751
Fe  0.666  0.334  0.249
Fe  0.666  0.334  0.751
Os  0.500  0.500  0.000
Rh  0.167  0.833  0.500
Rh  0.168  0.832  0.000
Rh  0.500  0.500  0.500
Rh  0.832  0.168  0.000
Rh  0.833  0.167  0.500


Compound: MgAgPt2
Source: Alexandria via LeMat-Bulk
Functional: GGA-PBE
Structure: optimized geometry

Computed properties:
Its space group is No. 139. The formation energy comes out at -0.4428 eV/atom. The value obtained for the volume is 16.28 Å³/atom. Its density of states at the Fermi level is 0.375 states/eV per atom. The value obtained for the magnetization is 0.000 μB/cell.

Lattice parameters (Å, degrees): 4.911 4.911 4.911 131.46 131.46 71.09
Fractional coordinates of all 4 atoms:
Mg  0.000  0.000  0.000
Ag  0.500  0.500  0.000
Pt  0.250  0.750  0.500
Pt  0.750  0.250  0.500